The following is a DFT calculation (PBE-GGA) of crystalline Re2OsI at its relaxed geometry.

Structure (POSCAR):
```
Re2OsI
1.0
5.865 0.000 0.000
0.000 5.865 0.000
0.000 0.000 11.339
Re Os I
8 4 4
direct
0.216 0.250 0.125 Re
0.250 0.716 0.375 Re
0.250 0.784 0.875 Re
0.284 0.250 0.625 Re
0.716 0.750 0.625 Re
0.750 0.216 0.875 Re
0.750 0.284 0.375 Re
0.784 0.750 0.125 Re
0.000 0.000 0.000 Os
0.000 0.500 0.250 Os
0.500 0.000 0.750 Os
0.500 0.500 0.500 Os
0.000 0.000 0.500 I
0.000 0.500 0.750 I
0.500 0.000 0.250 I
0.500 0.500 0.000 I
```

Results
Raw formation energy: 1506.6 meV/atom
Total magnetization: 0.000 μB per atom
SG: No. 122
Polymorph energy (0 for the lowest one): 163 meV per atom
Uncorrected energy: -31.65 eV per formula unit
ρ: 11.74 Mg/m³

The following is a DFT calculation (PBE-GGA) of crystalline ReOs2I2 at its relaxed geometry.

Structure (POSCAR):
```
ReOs2I2
1.0
4.315 0.000 0.000
0.000 4.315 0.000
0.000 0.000 11.592
Re Os I
2 4 4
direct
0.000 0.000 0.000 Re
0.500 0.500 0.500 Re
0.000 0.000 0.399 Os
0.000 0.000 0.601 Os
0.500 0.500 0.101 Os
0.500 0.500 0.899 Os
0.000 0.500 0.250 I
0.000 0.500 0.750 I
0.500 0.000 0.250 I
0.500 0.000 0.750 I
```

Results
Raw formation energy: 2120.0 meV/atom
Total magnetization: 0.579 μB per atom
SG: No. 139
Uncorrected energy: -27.41 eV per formula unit
ρ: 12.62 Mg/m³

The following is a DFT calculation (PBE-GGA) of crystalline ReOs2I at its relaxed geometry.

Structure (POSCAR):
```
ReOs2I
1.0
6.463 0.000 0.000
0.000 6.463 0.000
0.000 0.000 6.463
Re Os I
4 8 4
direct
0.000 0.000 0.000 Re
0.000 0.500 0.500 Re
0.500 0.000 0.500 Re
0.500 0.500 0.000 Re
0.250 0.250 0.250 Os
0.250 0.250 0.750 Os
0.250 0.750 0.250 Os
0.250 0.750 0.750 Os
0.750 0.250 0.250 Os
0.750 0.250 0.750 Os
0.750 0.750 0.250 Os
0.750 0.750 0.750 Os
0.000 0.000 0.500 I
0.000 0.500 0.000 I
0.500 0.000 0.000 I
0.500 0.500 0.500 I
```

Results
Raw formation energy: 1628.9 meV/atom
Total magnetization: 0.489 μB per atom
SG: No. 225
Polymorph energy (0 for the lowest one): 221 meV per atom
Uncorrected energy: -29.94 eV per formula unit
ρ: 17.06 Mg/m³

The following is a DFT calculation (PBE-GGA) of crystalline ReOsI3 at its relaxed geometry.

Structure (POSCAR):
```
ReOsI3
1.0
5.405 0.000 0.000
0.000 5.405 0.000
0.000 0.000 5.405
Re Os I
1 1 3
direct
0.000 0.000 0.000 Re
0.500 0.500 0.500 Os
0.000 0.500 0.500 I
0.500 0.000 0.500 I
0.500 0.500 0.000 I
```

Results
Raw formation energy: 1762.9 meV/atom
Total magnetization: 0.928 μB per atom
SG: No. 221
Polymorph energy (0 for the lowest one): 0 meV per atom
Uncorrected energy: -19.51 eV per formula unit
ρ: 7.96 Mg/m³

The following is a DFT calculation (PBE-GGA) of crystalline ReOsI2 at its relaxed geometry.

Structure (POSCAR):
```
ReOsI2
1.0
6.747 0.000 0.000
0.000 6.747 0.000
0.000 0.000 6.747
Re Os I
4 4 8
direct
0.000 0.000 0.000 Re
0.000 0.500 0.500 Re
0.500 0.000 0.500 Re
0.500 0.500 0.000 Re
0.000 0.000 0.500 Os
0.000 0.500 0.000 Os
0.500 0.000 0.000 Os
0.500 0.500 0.500 Os
0.250 0.250 0.250 I
0.250 0.250 0.750 I
0.250 0.750 0.250 I
0.250 0.750 0.750 I
0.750 0.250 0.250 I
0.750 0.250 0.750 I
0.750 0.750 0.250 I
0.750 0.750 0.750 I
```

Results
Raw formation energy: 1789.6 meV/atom
Total magnetization: 0.000 μB per atom
SG: No. 225
Polymorph energy (0 for the lowest one): 53 meV per atom
Uncorrected energy: -19.62 eV per formula unit
ρ: 13.63 Mg/m³

The following is a DFT calculation (PBE-GGA) of crystalline ReOs2I at its relaxed geometry.

Structure (POSCAR):
```
ReOs2I
1.0
6.062 0.000 0.000
0.000 6.062 0.000
0.000 0.000 10.483
Re Os I
4 8 4
direct
0.000 0.000 0.000 Re
0.000 0.500 0.250 Re
0.500 0.000 0.750 Re
0.500 0.500 0.500 Re
0.220 0.250 0.125 Os
0.250 0.720 0.375 Os
0.250 0.780 0.875 Os
0.280 0.250 0.625 Os
0.720 0.750 0.625 Os
0.750 0.220 0.875 Os
0.750 0.280 0.375 Os
0.780 0.750 0.125 Os
0.000 0.000 0.500 I
0.000 0.500 0.750 I
0.500 0.000 0.250 I
0.500 0.500 0.000 I
```

Results
Raw formation energy: 1408.4 meV/atom
Total magnetization: 0.000 μB per atom
SG: No. 122
Polymorph energy (0 for the lowest one): 0 meV per atom
Uncorrected energy: -30.82 eV per formula unit
ρ: 11.96 Mg/m³

Question: What is the formula in the second record?
Answer: ReOs2I2